1.
12
Lattice="-4.8686 -1.0390 -2.0132 4.3783 -0.8376 -2.9942 0.4559 -7.4873 2.7613" Properties=species:S:1:pos:R:3 comment="PBE KTc2RhO8, optimized geometry" dft_energy_ev_per_atom=-7.0456 mass_density_g_cm3=3.88 pbc="T T T"
K 0.0000 0.0000 0.0000
O -1.5610 -4.1602 -2.9661
O 1.7263 -7.9720 -0.0608
O 3.0880 -5.9774 -1.6357
O -3.1224 -3.3865 -0.6104
O -0.1993 -3.1898 -0.5598
O 1.5266 -5.2037 0.7200
O -1.7607 -1.3919 -2.1853
O 0.1649 -6.1741 -1.6863
Tc -1.6612 -3.0274 -1.5821
Tc 1.6268 -6.3366 -0.6639
Rh 0.2280 -3.7437 1.3807



2.
6
Lattice="-0.4339 -3.9147 2.2282 1.8881 -3.7657 -1.6530 6.4643 -1.1560 3.8230" Properties=species:S:1:pos:R:3 comment="PBE MgSnIr, optimized geometry" e_form_ev_per_atom=-0.3200 mass_density_g_cm3=8.80 pbc="T T T"
Sn 1.8833 -4.9056 0.9385
Sn 6.0351 -3.9307 3.4598
Ir 6.0520 -6.6007 3.3674
Ir 1.8665 -2.2357 1.0308
Mg 3.7619 -7.1385 1.9767
Mg 4.1565 -1.6979 2.4216